Record 1
Below is OsPtAu3 after structural relaxation, with properties calculated at the PBE level.

Magnetic moment, Bohr magnetons per cell: 0.00
DOS at the Fermi energy, states/eV per cell: 9.057
Total DFT energy (no corrections), eV/atom: -3.706

Lattice parameters (Å, degrees): 4.9494 4.9494 4.9494 90.00 90.00 90.00
With the nearest neighbours (Å) after each atom.
Fractional positions:
Au 0.0000 0.0000 0.5000  2 Os 2.47
Os 0.0000 0.0000 0.0000  6 Au 2.47
Au 0.5000 0.0000 0.0000  2 Os 2.47
Au 0.0000 0.5000 0.0000  2 Os 2.47
Pt 0.5000 0.5000 0.5000  12 Au 3.50

Record 2
Below is OsPtAu2 after structural relaxation, with properties calculated at the PBE level.

Magnetic moment, Bohr magnetons per cell: 0.00
DOS at the Fermi energy, states/eV per cell: 3.610
Total DFT energy (no corrections), eV/atom: -5.598

Lattice parameters (Å, degrees): 3.8798 2.8037 6.7425 65.37 90.00 90.00
With the nearest neighbours (Å) after each atom.
Fractional positions:
Pt 0.5000 0.7814 0.7191  4 Os 2.67, 2 Pt 2.80, 5 Au 2.83-2.94
Au 0.0000 0.0027 0.9969  6 Au 2.80-2.88, 1 Os 2.88, 4 Pt 2.94
Os 0.0000 0.4738 0.5262  4 Pt 2.67, 2 Os 2.80, 5 Au 2.88-2.91
Au 0.5000 0.2421 0.2578  6 Au 2.80-2.88, 1 Pt 2.83, 4 Os 2.90-2.91